! GGA-PBE HoZr4Rh5, optimized geometry; values from VASP
! Energy relative to the elements, eV/atom: -0.796
! Calculated volume, Å³/cell: 183.7
! Energy, eV/atom: -8.3483
&SYSTEM
  ibrav = 0, nat = 10, ntyp = 3
/
ATOMIC_SPECIES
Ho 164.93 Ho.upf
Zr 91.22 Zr.upf
Rh 102.91 Rh.upf
CELL_PARAMETERS angstrom
3.323 0.000 0.000
0.000 3.323 0.000
0.000 0.000 16.630
ATOMIC_POSITIONS crystal
Ho 0.000 0.000 0.000
Zr 0.000 0.000 0.204
Zr 0.000 0.000 0.402
Zr 0.000 0.000 0.598
Zr 0.000 0.000 0.796
Rh 0.500 0.500 0.112
Rh 0.500 0.500 0.304
Rh 0.500 0.500 0.500
Rh 0.500 0.500 0.696
Rh 0.500 0.500 0.888